# PrSm3Ho4

A relaxed PrSm3Ho4 crystal (PBE-GGA, Alexandria).

Results
- Calculated formation energy: 24 meV per atom
- Mass density: 7863 kg/m³
- Magnetization: 0.000 μB per cell
- Raw total energy: -74.11 eV/cell

CIF file:
```
data_PrSm3Ho4
_chemical_formula_sum 'Pr2 Sm6 Ho8'
_symmetry_space_group_name_H-M 'P m n 21'
_symmetry_Int_Tables_number 31
_cell_length_a 11.4794
_cell_length_b 7.3080
_cell_length_c 6.3018
_cell_angle_alpha 90.00
_cell_angle_beta 90.00
_cell_angle_gamma 90.00
loop_
_symmetry_equiv_pos_as_xyz
'x,y,z'
'-x+1/2,-y,z+1/2'
'-x,y,z'
'x+1/2,-y,z+1/2'
loop_
_atom_site_label
_atom_site_fract_x
_atom_site_fract_y
_atom_site_fract_z
Pr1 0.0000 0.1265 0.0000
Sm1 0.0000 0.8722 0.5007
Sm2 0.2496 0.1282 0.3353
Ho1 0.0000 0.3789 0.5013
Ho2 0.0000 0.6219 0.0022
Ho3 0.2493 0.6219 0.3346
```



# YHo3Te4

A relaxed YHo3Te4 crystal (PBE-GGA, Alexandria).

Results
- Mass density: 7838 kg/m³
- Magnetization: 0.000 μB per cell
- Uncorrected formation energy: -1.26 eV/atom
- Raw total energy: -85.68 eV/cell

CIF file:
```
data_YHo3Te4
_chemical_formula_sum 'Y2 Ho6 Te8'
_symmetry_space_group_name_H-M 'C m m m'
_symmetry_Int_Tables_number 65
_symmetry_space_group_name_Hall '-C 2 2'
_cell_length_a 8.7984
_cell_length_b 12.2889
_cell_length_c 4.2879
_cell_angle_alpha 90.00
_cell_angle_beta 90.00
_cell_angle_gamma 90.00
loop_
_atom_site_label
_atom_site_fract_x
_atom_site_fract_y
_atom_site_fract_z
Y1 0.0000 0.0000 0.0000
Ho1 0.0000 0.5000 0.0000
Ho2 0.2500 0.2500 0.5000
Te1 0.0000 0.2509 0.0000
Te2 0.2483 0.5000 0.5000
```



# Ac7Al2Pb2

A relaxed Ac7Al2Pb2 crystal (PBE-GGA, Alexandria).

Results
- Calculated formation energy: -48 meV per atom
- Mass density: 7805 kg/m³
- Magnetization: 0.000 μB per cell
- Raw total energy: -88.38 eV/cell

CIF file:
```
data_Ac7Al2Pb2
_chemical_formula_sum 'Ac14 Al4 Pb4'
_symmetry_space_group_name_H-M 'C m m m'
_symmetry_Int_Tables_number 65
_symmetry_space_group_name_Hall '-C 2 2'
_cell_length_a 8.4836
_cell_length_b 12.1178
_cell_length_c 8.5160
_cell_angle_alpha 90.00
_cell_angle_beta 90.00
_cell_angle_gamma 90.00
loop_
_atom_site_label
_atom_site_fract_x
_atom_site_fract_y
_atom_site_fract_z
Ac1 0.0000 0.0000 0.0000
Ac2 0.0000 0.5000 0.2770
Ac3 0.2500 0.2500 0.2966
Al1 0.1584 0.0000 0.5000
Pb1 0.0000 0.2961 0.0000
```



# SrCrP

A relaxed SrCrP crystal (PBE-GGA, Alexandria).

Results
- Calculated formation energy: -615 meV per atom
- Mass density: 4147 kg/m³
- Magnetization: 1.805 μB per cell
- Raw total energy: -37.12 eV/cell

CIF file:
```
data_SrCrP
_chemical_formula_sum 'Sr2 Cr2 P2'
_symmetry_space_group_name_H-M 'P 4/n m m'
_symmetry_Int_Tables_number 129
_cell_length_a 3.7774
_cell_length_b 3.7774
_cell_length_c 9.5737
_cell_angle_alpha 90.00
_cell_angle_beta 90.00
_cell_angle_gamma 90.00
loop_
_symmetry_equiv_pos_as_xyz
'x,y,z'
'-x,-y,-z'
'-y+1/2,x,z'
'y+1/2,-x,-z'
'-x+1/2,-y+1/2,z'
'x+1/2,y+1/2,-z'
'y,-x+1/2,z'
'-y,x+1/2,-z'
'x+1/2,-y,-z'
'-x+1/2,y,z'
'-y,-x,-z'
'y,x,z'
'-x,y+1/2,-z'
'x,-y+1/2,z'
'y+1/2,x+1/2,-z'
'-y+1/2,-x+1/2,z'
loop_
_atom_site_label
_atom_site_fract_x
_atom_site_fract_y
_atom_site_fract_z
Sr1 0.2500 0.2500 0.1949
Cr1 0.2500 0.7500 0.5000
P1 0.2500 0.2500 0.6455
```



# FeSi2Os

A relaxed FeSi2Os crystal (PBE-GGA, Alexandria).

Results
- Mass density: 10147 kg/m³
- Magnetization: 0.000 μB per cell
- Uncorrected formation energy: -0.20 eV/atom
- Raw total energy: -62.65 eV/cell

CIF file:
```
data_FeSi2Os
_chemical_formula_sum 'Fe2 Si4 Os2'
_symmetry_space_group_name_H-M 'C 1 2/m 1'
_symmetry_Int_Tables_number 12
_cell_length_a 7.6845
_cell_length_b 2.7800
_cell_length_c 4.7255
_cell_angle_alpha 90.00
_cell_angle_beta 101.51
_cell_angle_gamma 90.00
loop_
_symmetry_equiv_pos_as_xyz
'x,y,z'
'-x,-y,-z'
'-x,y,-z'
'x,-y,z'
'x+1/2,y+1/2,z'
'-x+1/2,-y+1/2,-z'
'-x+1/2,y+1/2,-z'
'x+1/2,-y+1/2,z'
loop_
_atom_site_label
_atom_site_fract_x
_atom_site_fract_y
_atom_site_fract_z
Fe1 0.0000 0.0000 0.0000
Si1 0.2466 0.5000 0.2297
Os1 0.0000 0.5000 0.5000
```



# NpCoGe2

A relaxed NpCoGe2 crystal (PBE-GGA, Alexandria).

Results
- Calculated formation energy: -238 meV per atom
- Mass density: 10345 kg/m³
- Magnetization: 14.730 μB per cell
- Raw total energy: -120.93 eV/cell

CIF file:
```
data_NpCoGe2
_chemical_formula_sum 'Np4 Co4 Ge8'
_symmetry_space_group_name_H-M 'C m m m'
_symmetry_Int_Tables_number 65
_symmetry_space_group_name_Hall '-C 2 2'
_cell_length_a 4.1047
_cell_length_b 16.9748
_cell_length_c 4.0658
_cell_angle_alpha 90.00
_cell_angle_beta 90.00
_cell_angle_gamma 90.00
loop_
_atom_site_label
_atom_site_fract_x
_atom_site_fract_y
_atom_site_fract_z
Np1 0.0000 0.1445 0.0000
Co1 0.0000 0.4269 0.5000
Ge1 0.0000 0.0000 0.5000
Ge2 0.0000 0.2919 0.5000
Ge3 0.0000 0.5000 0.0000
```